No. 1
First-principles (PBE) data for an optimized crystal structure of Ca2MgTlP, as listed in Alexandria.

abc: 5.5153 5.5153 4.8661
angles: 90.00 90.00 90.00
Positions (direct):
Ca: 0.0000 0.5000 0.0000
Ca: 0.5000 0.0000 0.0000
Mg: 0.0000 0.0000 0.5000
Tl: 0.5000 0.5000 0.5000
P: 0.0000 0.0000 0.0000

Values from the calculation:
crystal system	tetragonal
uncorrected energy	-3.174	eV/atom
SG	No. 123

***

No. 2
First-principles (PBE) data for an optimized crystal structure of PAu2Br8, as listed in Alexandria.

abc: 7.1318 7.6278 7.9780
angles: 65.27 85.33 79.70
Positions (direct):
P: 0.0000 0.0000 0.0000
Au: 0.2286 0.6523 0.4530
Au: 0.7714 0.3477 0.5470
Br: 0.0527 0.3280 0.7290
Br: 0.2171 0.8261 0.8590
Br: 0.2654 0.0174 0.1723
Br: 0.4740 0.6192 0.6706
Br: 0.5260 0.3808 0.3294
Br: 0.7346 0.9826 0.8277
Br: 0.7829 0.1739 0.1410
Br: 0.9473 0.6720 0.2710

Values from the calculation:
crystal system	triclinic
formation energy from raw total energies	-5.8	kJ per mole of atoms
SG	No. 2

***

| no. | N(E_F) (states/eV per atom) |
| --- | --- |
| 1 | 0.72 |
| 2 | 0.61 |